Entry from Alexandria via LeMat-Bulk: a relaxed structure of KTlPb (PBE).

Values from the calculation:
Offset from the most stable computed form = 0.0588 eV/atom
Raw total energy = -2.5005 eV/atom
Formation energy from the elements = -31.8 kJ/mol of formula units

POSCAR file:
```
KTlPb
1.0
7.641 0.000 0.000
0.000 5.057 0.000
0.000 0.000 10.879
Pb Tl K
4 4 4
Direct
0.390 0.250 0.433
0.110 0.750 0.933
0.610 0.750 0.567
0.890 0.250 0.067
0.915 0.250 0.771
0.585 0.750 0.271
0.085 0.750 0.229
0.415 0.250 0.729
0.874 0.250 0.410
0.626 0.750 0.910
0.126 0.750 0.590
0.374 0.250 0.090
```

Entry from Alexandria via LeMat-Bulk: a relaxed structure of K2Tl2Pb (PBE).

Values from the calculation:
Offset from the most stable computed form = 0.0010 eV/atom
Raw total energy = -2.2460 eV/atom
Formation energy from the elements = -57.3 kJ/mol of formula units

POSCAR file:
```
K2Tl2Pb
1.0
5.366 0.000 0.000
2.683 6.417 -0.211
2.683 -0.023 11.441
K Tl Pb
4 4 2
Direct
0.672 0.321 0.334
0.915 0.283 0.887
0.328 0.679 0.666
0.085 0.717 0.113
0.097 0.258 0.548
0.627 0.858 0.888
0.903 0.742 0.452
0.373 0.142 0.112
0.622 0.094 0.662
0.378 0.906 0.338
```